This record from the Alexandria database describes crystalline Cs2K4Li at its relaxed geometry. The functional is PBE.

For the density of states at the Fermi level, the calculation gives 4.7 states/eV/f.u. As for the uncorrected energy: -1.042 eV per atom.

Cell: 7.011 7.011 23.586 Å, 90.00 90.00 90.00°
Space group I4/mmm (No. 139)
Unique sites:
Cs  0.000  0.000  0.145
K  0.000  0.000  0.345
K  0.000  0.500  0.000
Li  0.000  0.000  0.500

This record from the Alexandria database describes crystalline Pu2Cu2Ir at its relaxed geometry. The functional is PBE.

For the density of states at the Fermi level, the calculation gives 13.4 states/eV/f.u. As for the uncorrected energy: -9.230 eV per atom.

Cell: 3.417 3.417 16.814 Å, 90.00 90.00 90.00°
Space group I4/mmm (No. 139)
Unique sites:
Pu  0.000  0.000  0.100
Cu  0.000  0.500  0.250
Ir  0.000  0.000  0.500

This record from the Alexandria database describes crystalline Tm6Tl3Tc at its relaxed geometry. The functional is PBE.

For the density of states at the Fermi level, the calculation gives 6.8 states/eV/f.u. As for the uncorrected energy: -4.483 eV per atom.

Cell: 11.391 7.001 7.415 Å, 90.00 103.66 90.00°
Space group C2/m (No. 12)
Unique sites:
Tm  0.111  0.243  0.348
Tm  0.166  0.500  0.843
Tl  0.000  0.000  0.000
Tl  0.175  0.000  0.733
Tc  0.000  0.500  0.500

This record from the Alexandria database describes crystalline BaScZn at its relaxed geometry. The functional is PBE.

The value obtained for the energy above the most stable polymorph in this dataset is 223 meV/atom. For the density of states at the Fermi level, the calculation gives 3.6 states/eV/f.u.

Cell: 4.7255 4.7255 5.1944 Å, 90.00 90.00 120.00°
Space group P-6m2 (No. 187)
Unique sites:
Ba  0.0000  0.0000  0.0000
Sc  0.6667  0.3333  0.5000
Zn  0.3333  0.6667  0.5000

This record from the Alexandria database describes crystalline K2NpBrCl6 at its relaxed geometry. The functional is PBE.

The uncorrected formation energy comes out at -1605 meV per atom. For the density of states at the Fermi level, the calculation gives 10.9 states/eV/f.u.

Cell: 6.504 7.477 9.656 Å, 67.62 76.63 78.89°
Space group P1 (No. 1)
Unique sites:
K  0.000  0.000  0.000
K  0.398  0.726  0.413
Np  0.038  0.252  0.499
Br  0.490  0.947  0.060
Cl  0.109  0.407  0.676
Cl  0.195  0.922  0.672
Cl  0.396  0.314  0.337
Cl  0.683  0.197  0.661
Cl  0.895  0.589  0.329
Cl  0.970  0.083  0.333

This record from the Alexandria database describes crystalline Dy5Ga2Au at its relaxed geometry. The functional is PBE.

For the density of states at the Fermi level, the calculation gives 6.2 states/eV/f.u. As for the uncorrected energy: -4.591 eV per atom.

Cell: 7.461 7.461 14.759 Å, 90.00 90.00 90.00°
Space group I4/mcm (No. 140)
Unique sites:
Dy  0.000  0.000  0.000
Dy  0.171  0.329  0.148
Ga  0.121  0.379  0.500
Au  0.000  0.000  0.250

This record from the Alexandria database describes crystalline Y4CuRu2 at its relaxed geometry. The functional is PBE.

The value obtained for the energy above the most stable polymorph in this dataset is 443 meV/atom. For the density of states at the Fermi level, the calculation gives 4.7 states/eV/f.u.

Cell: 5.310 5.310 13.117 Å, 90.00 90.00 90.00°
Space group I4/mmm (No. 139)
Unique sites:
Y  0.000  0.000  0.209
Y  0.000  0.500  0.000
Cu  0.000  0.000  0.000
Ru  0.000  0.000  0.403

This record from the Alexandria database describes crystalline ErLuIn at its relaxed geometry. The functional is PBE.

The value obtained for the energy above the most stable polymorph in this dataset is 103 meV/atom. For the density of states at the Fermi level, the calculation gives 3.0 states/eV/f.u.

Cell: 5.1676 5.1676 3.5739 Å, 90.00 90.00 120.00°
Space group P3m1 (No. 156)
Unique sites:
Er  0.0000  0.0000  0.0000
Lu  0.6667  0.3333  0.5559
In  0.3333  0.6667  0.3174

This record from the Alexandria database describes crystalline Ca2MgAu4 at its relaxed geometry. The functional is PBE.

For the density of states at the Fermi level, the calculation gives 2.9 states/eV/f.u. As for the uncorrected energy: -3.275 eV per atom.

Cell: 5.014 5.014 12.909 Å, 90.00 90.00 90.00°
Space group I4/mmm (No. 139)
Unique sites:
Ca  0.000  0.000  0.237
Mg  0.000  0.000  0.500
Au  0.000  0.500  0.110

This record from the Alexandria database describes crystalline BiPtAu at its relaxed geometry. The functional is PBE.

The value obtained for the energy above the most stable polymorph in this dataset is 210 meV/atom. For the density of states at the Fermi level, the calculation gives 1.5 states/eV/f.u.

Cell: 10.428 4.009 6.633 Å, 90.00 90.00 90.00°
Space group Amm2 (No. 38)
Unique sites:
Bi  0.173  0.000  0.000
Pt  0.000  0.000  0.340
Pt  0.500  0.000  0.315
Au  0.354  0.000  0.657